Here is a PBEsol-optimized structure of CaCd2In from Alexandria. Energies are from meta-GGA SCAN.

abc: 4.582 4.582 4.523
angles: 90.00 90.00 90.00
Atoms (fractional coordinates):
Ca 0.000 0.000 0.000
Cd 0.000 0.500 0.500
Cd 0.500 0.000 0.500
In 0.500 0.500 0.000

Formation energy (meV/atom): -317
Fermi-level density of states (states/eV/f.u.): 1.65
Volume (Å³/f.u.): 95
Magnetic moment (Bohr magnetons per cell): 0.00
Raw total energy (eV/atom): -26.287

Here is a PBEsol-optimized structure of CaCd2In from Alexandria. Energies are from meta-GGA SCAN.

abc: 3.390 4.906 5.956
angles: 90.00 90.40 90.00
Atoms (fractional coordinates):
Ca 0.000 0.000 0.000
Cd 0.500 0.000 0.496
Cd 0.503 0.500 0.248
In 0.496 0.500 0.755

Formation energy (meV/atom): -301
Fermi-level density of states (states/eV/f.u.): 1.52
Volume (Å³/f.u.): 99
Magnetic moment (Bohr magnetons per cell): 0.00
Raw total energy (eV/atom): -26.271

Here is a PBEsol-optimized structure of CaCdIn from Alexandria. Energies are from meta-GGA SCAN.

abc: 4.917 4.917 3.576
angles: 90.00 90.00 120.00
Atoms (fractional coordinates):
Ca 0.000 0.000 0.000
Cd 0.333 0.667 0.500
In 0.667 0.333 0.500

Formation energy (meV/atom): -525
Fermi-level density of states (states/eV/f.u.): 0.89
Volume (Å³/f.u.): 75
Magnetic moment (Bohr magnetons per cell): 0.00
Raw total energy (eV/atom): -25.014

Q: What is the formula in the first record?
A: CaCd2In